[1]
A relaxed CoNi2 crystal. Source: the Open Quantum Materials Database, functional PBE.

Lattice parameters (Å, degrees): 4.592 4.592 14.906 90.00 90.00 120.00
Element x y z (fractional)
Ni1 0.667 0.333 0.154
Co1 0.333 0.667 0.373
Co2 0.000 0.000 0.411
Ni2 0.333 0.667 0.654
Co3 0.000 0.000 0.589
Co4 0.000 0.000 0.089
Ni3 0.675 0.838 0.250
Co5 0.333 0.667 0.127
Ni4 0.500 0.000 0.000
Co6 0.000 0.000 0.911
Ni5 0.500 0.500 0.000
Ni6 0.500 0.000 0.500
Co7 0.667 0.333 0.873
Ni7 0.838 0.162 0.750
Ni8 0.000 0.500 0.000
Ni9 0.325 0.162 0.750
Ni10 0.838 0.675 0.750
Ni11 0.162 0.325 0.250
Co8 0.667 0.333 0.627
Ni12 0.162 0.838 0.250
Ni13 0.500 0.500 0.500
Ni14 0.333 0.667 0.846
Ni15 0.000 0.500 0.500
Ni16 0.667 0.333 0.346

Properties
Size of the total moment, μB per cell: 23.66
DFT formation energy, meV/atom: 217.3



[2]
A relaxed Co3Ni crystal. Source: the Open Quantum Materials Database, functional PBE.

Lattice parameters (Å, degrees): 4.584 4.584 14.908 90.00 90.00 120.00
Element x y z (fractional)
Co1 0.000 0.000 0.413
Co2 0.667 0.333 0.627
Co3 0.000 0.000 0.913
Ni1 0.324 0.162 0.750
Co4 0.500 0.000 0.000
Co5 0.500 0.000 0.500
Ni2 0.162 0.838 0.250
Co6 0.000 0.000 0.587
Co7 0.333 0.667 0.127
Ni3 0.838 0.676 0.750
Co8 0.500 0.500 0.500
Co9 0.000 0.500 0.500
Co10 0.333 0.667 0.848
Co11 0.500 0.500 0.000
Co12 0.000 0.000 0.087
Co13 0.667 0.333 0.152
Co14 0.333 0.667 0.652
Co15 0.333 0.667 0.373
Ni4 0.676 0.838 0.250
Co16 0.000 0.500 0.000
Co17 0.667 0.333 0.873
Co18 0.667 0.333 0.348
Ni5 0.838 0.162 0.750
Ni6 0.162 0.324 0.250

Properties
Size of the total moment, μB per cell: 34.56
DFT formation energy, meV/atom: 198.4



[3]
A relaxed Co5Ni crystal. Source: the Open Quantum Materials Database, functional PBE.

Lattice parameters (Å, degrees): 4.586 4.586 7.380 90.00 90.00 120.00
Element x y z (fractional)
Ni1 0.000 0.000 0.500
Co1 0.827 0.655 0.250
Co2 0.667 0.333 0.926
Co3 0.333 0.667 0.074
Co4 0.345 0.173 0.250
Co5 0.333 0.667 0.426
Co6 0.655 0.827 0.750
Co7 0.173 0.827 0.750
Co8 0.667 0.333 0.574
Co9 0.173 0.345 0.750
Co10 0.827 0.173 0.250
Ni2 0.000 0.000 0.000

Properties
Size of the total moment, μB per cell: 18.15
ΔE to the lowest computed polymorph, meV/atom: 9
DFT formation energy, meV/atom: 197.8



[4]
A relaxed Co7Ni5 crystal. Source: the Open Quantum Materials Database, functional PBE.

Lattice parameters (Å, degrees): 4.581 4.581 14.948 90.00 90.00 120.00
Element x y z (fractional)
Ni1 0.333 0.667 0.374
Ni2 0.838 0.675 0.750
Ni3 0.333 0.667 0.126
Co1 0.500 0.000 0.000
Ni4 0.838 0.162 0.750
Co2 0.500 0.500 0.500
Ni5 0.162 0.325 0.250
Co3 0.667 0.333 0.153
Ni6 0.667 0.333 0.626
Co4 0.000 0.000 0.412
Co5 0.333 0.667 0.847
Co6 0.000 0.500 0.000
Ni7 0.162 0.838 0.250
Co7 0.000 0.500 0.500
Ni8 0.667 0.333 0.874
Co8 0.000 0.000 0.588
Co9 0.000 0.000 0.912
Co10 0.500 0.500 0.000
Co11 0.000 0.000 0.088
Ni9 0.325 0.162 0.750
Ni10 0.675 0.838 0.250
Co12 0.333 0.667 0.653
Co13 0.500 0.000 0.500
Co14 0.667 0.333 0.347

Properties
Size of the total moment, μB per cell: 29.96
ΔE to the lowest computed polymorph, meV/atom: 19
DFT formation energy, meV/atom: 215.2



[5]
A relaxed CoNi3 crystal. Source: the Open Quantum Materials Database, functional PBE.

Lattice parameters (Å, degrees): 4.586 4.586 14.922 90.00 90.00 120.00
Element x y z (fractional)
Co1 0.161 0.839 0.250
Ni1 0.000 0.500 0.500
Ni2 0.333 0.667 0.661
Co2 0.322 0.161 0.750
Ni3 0.667 0.333 0.873
Ni4 0.333 0.667 0.373
Ni5 0.000 0.500 0.000
Ni6 0.667 0.333 0.627
Ni7 0.500 0.000 0.500
Ni8 0.500 0.500 0.500
Ni9 0.333 0.667 0.839
Ni10 0.667 0.333 0.161
Ni11 0.500 0.500 0.000
Ni12 0.000 0.000 0.909
Ni13 0.333 0.667 0.127
Co3 0.839 0.161 0.750
Ni14 0.000 0.000 0.591
Ni15 0.000 0.000 0.091
Co4 0.839 0.678 0.750
Ni16 0.000 0.000 0.409
Co5 0.161 0.322 0.250
Co6 0.678 0.839 0.250
Ni17 0.667 0.333 0.339
Ni18 0.500 0.000 0.000

Properties
Size of the total moment, μB per cell: 20.35
DFT formation energy, meV/atom: 206.3



[6]
A relaxed Co5Ni7 crystal. Source: the Open Quantum Materials Database, functional PBE.

Lattice parameters (Å, degrees): 4.601 4.601 14.886 90.00 90.00 120.00
Element x y z (fractional)
Ni1 0.324 0.162 0.750
Co1 0.667 0.333 0.627
Co2 0.667 0.333 0.873
Co3 0.000 0.500 0.000
Co4 0.500 0.500 0.500
Ni2 0.838 0.676 0.750
Ni3 0.000 0.000 0.411
Co5 0.333 0.667 0.127
Ni4 0.000 0.000 0.089
Co6 0.500 0.500 0.000
Ni5 0.333 0.667 0.849
Co7 0.500 0.000 0.500
Co8 0.000 0.500 0.500
Ni6 0.676 0.838 0.250
Ni7 0.162 0.324 0.250
Co9 0.500 0.000 0.000
Ni8 0.162 0.838 0.250
Ni9 0.667 0.333 0.349
Ni10 0.333 0.667 0.651
Ni11 0.000 0.000 0.911
Ni12 0.667 0.333 0.151
Ni13 0.000 0.000 0.589
Co10 0.333 0.667 0.373
Ni14 0.838 0.162 0.750

Properties
Size of the total moment, μB per cell: 25.60
ΔE to the lowest computed polymorph, meV/atom: 0
DFT formation energy, meV/atom: 198.9



[7]
A relaxed CoNi3 crystal. Source: the Open Quantum Materials Database, functional PBE.

Lattice parameters (Å, degrees): 4.587 4.587 14.949 90.00 90.00 120.00
Element x y z (fractional)
Ni1 0.162 0.838 0.250
Ni2 0.000 0.000 0.413
Ni3 0.667 0.333 0.153
Ni4 0.333 0.667 0.127
Ni5 0.838 0.676 0.750
Ni6 0.333 0.667 0.653
Ni7 0.838 0.162 0.750
Co1 0.500 0.500 0.500
Ni8 0.667 0.333 0.627
Ni9 0.333 0.667 0.373
Co2 0.000 0.500 0.000
Co3 0.000 0.500 0.500
Ni10 0.162 0.324 0.250
Ni11 0.324 0.162 0.750
Ni12 0.000 0.000 0.087
Ni13 0.676 0.838 0.250
Co4 0.500 0.000 0.500
Ni14 0.000 0.000 0.587
Ni15 0.333 0.667 0.847
Ni16 0.667 0.333 0.873
Co5 0.500 0.000 0.000
Ni17 0.667 0.333 0.347
Ni18 0.000 0.000 0.913
Co6 0.500 0.500 0.000

Properties
Size of the total moment, μB per cell: 20.23
DFT formation energy, meV/atom: 208.8



[8]
A relaxed CoNi3 crystal. Source: the Open Quantum Materials Database, functional PBE.

Lattice parameters (Å, degrees): 3.499 3.499 3.499 90.00 90.00 90.00
Element x y z (fractional)
Ni1 0.000 0.500 0.500
Co1 0.000 0.000 0.000
Ni2 0.500 0.000 0.500
Ni3 0.500 0.500 0.000

Properties
Size of the total moment, μB per cell: 3.57
DFT formation energy, meV/atom: 15.0



[9]
A relaxed Co5Ni7 crystal. Source: the Open Quantum Materials Database, functional PBE.

Lattice parameters (Å, degrees): 4.583 4.583 14.951 90.00 90.00 120.00
Element x y z (fractional)
Ni1 0.838 0.162 0.750
Co1 0.500 0.000 0.500
Ni2 0.333 0.667 0.652
Ni3 0.333 0.667 0.126
Ni4 0.333 0.667 0.848
Co2 0.500 0.500 0.500
Ni5 0.162 0.324 0.250
Ni6 0.676 0.838 0.250
Co3 0.000 0.000 0.914
Ni7 0.324 0.162 0.750
Ni8 0.667 0.333 0.874
Co4 0.000 0.500 0.500
Co5 0.500 0.000 0.000
Co6 0.000 0.000 0.586
Co7 0.500 0.500 0.000
Ni9 0.667 0.333 0.348
Ni10 0.667 0.333 0.626
Ni11 0.667 0.333 0.152
Ni12 0.838 0.676 0.750
Ni13 0.333 0.667 0.374
Co8 0.000 0.500 0.000
Ni14 0.162 0.838 0.250
Co9 0.000 0.000 0.414
Co10 0.000 0.000 0.086

Properties
Size of the total moment, μB per cell: 24.81
ΔE to the lowest computed polymorph, meV/atom: 12
DFT formation energy, meV/atom: 210.8